First-principles (SCAN) data for a crystal of TlCdRu2 relaxed with PBEsol, as listed in Alexandria via LeMat-Bulk.

The calculated formation energy comes out at 0.644 eV/atom. For the density of states at the Fermi level, the calculation gives 0.74 states/eV per atom. The value obtained for the theoretical density is 12.89 Mg/m³. As for the total energy: -42.462 eV per atom.

It has space group R-3m (No. 166, hexagonal axes), with a = 2.9619 Å, b = 2.9619 Å, c = 26.3963 Å, α = 90.00°, β = 90.00° and γ = 120.00°. The inequivalent atoms are Tl at (0.0000, 0.0000, 0.0000), Cd at (0.0000, 0.0000, 0.5000) and Ru at (0.0000, 0.0000, 0.2505).